Below is a relaxed structure of AcMgZn2Ag8, with properties calculated at the GGA-PBE level.

Computed properties:
* magnetic moment: 0.0 μB per cell
* space group: No. 12
* DOS at the Fermi energy: 5.3 states/eV/cell
* DFT total energy: -2.70 eV/atom
* DFT formation energy: -123 kJ/mol of formula units

The structure in CIF format:
```
data_AcMgZn2Ag8
_chemical_formula_sum 'Ac1 Mg1 Zn2 Ag8'
_space_group_name_H-M_alt 'P 1'
_space_group_IT_number 1
_space_group_name_Hall 'P 1'
_cell_length_a 5.4943
_cell_length_b 5.4943
_cell_length_c 10.8344
_cell_angle_alpha 60.78
_cell_angle_beta 60.78
_cell_angle_gamma 62.63
loop_
_atom_site_label
_atom_site_fract_x
_atom_site_fract_y
_atom_site_fract_z
Ac1 0.0000 0.0000 0.5000
Mg1 0.0000 0.0000 0.0000
Zn1 0.6661 0.6661 0.2400
Zn2 0.3339 0.3339 0.7600
Ag1 0.8207 0.3301 0.7640
Ag2 0.7069 0.7069 0.9407
Ag3 0.6610 0.6610 0.4971
Ag4 0.3390 0.3390 0.5029
Ag5 0.2931 0.2931 0.0593
Ag6 0.3301 0.8207 0.7640
Ag7 0.6699 0.1793 0.2360
Ag8 0.1793 0.6699 0.2360
```